# MgSiBiSe2

A geometry-optimized MgSiBiSe2 structure (GGA-PBE, Alexandria via LeMat-Bulk).

Geometry as POSCAR:
```
MgSiBiSe2
1.0
-4.504 1.845 -0.534
-0.735 -3.181 -4.787
-1.817 -3.653 2.707
Si Se Bi Mg
1 2 1 1
direct
0.500 0.500 0.500 Si
0.000 0.000 0.500 Se
0.500 0.000 0.000 Se
0.000 0.500 0.000 Bi
0.000 0.000 0.000 Mg
```

Results
V: 138.9 Å³/cell
E: -3.04 eV/atom
DOS at the Fermi energy: 6.091 states/eV/f.u.